A geometry-optimized TaCoWO6 structure. Source: the Alexandria database, functional PBE+U.

a b c (Å): 4.744 4.744 9.406
angles (deg): 90.00 90.00 90.00
Atoms (fractional coordinates):
Ta  0.000  0.000  0.000
Ta  0.500  0.500  0.500
Co  0.000  0.000  0.665
Co  0.500  0.500  0.165
W  0.000  0.000  0.332
W  0.500  0.500  0.832
O  0.191  0.191  0.162
O  0.204  0.204  0.491
O  0.208  0.208  0.841
O  0.292  0.708  0.341
O  0.296  0.704  0.991
O  0.309  0.691  0.662
O  0.691  0.309  0.662
O  0.704  0.296  0.991
O  0.708  0.292  0.341
O  0.792  0.792  0.841
O  0.796  0.796  0.491
O  0.809  0.809  0.162

Computed properties:
Crystal system: tetragonal
E_tot, eV per atom: -8.14
Magnetization, μB per formula unit: 4.00